1.
{"formula": "Cs3Na2Tl7", "functional": "PBE", "state": "optimized geometry", "density_g_cm3": 6.8, "e_form_ev_per_atom": -0.06, "lattice": [[3.4706, 2.0038, 10.9110], [-3.4706, 2.0038, 10.9110], [0.0000, -4.0075, 10.9110]], "species": ["Cs", "Cs", "Cs", "Na", "Na", "Tl", "Tl", "Tl", "Tl", "Tl", "Tl", "Tl"], "fractional_positions": [[0.0000, 0.0000, 0.0000], [0.1421, 0.1421, 0.1421], [0.8579, 0.8579, 0.8579], [0.3337, 0.3337, 0.3337], [0.6663, 0.6663, 0.6663], [0.0790, 0.5833, 0.5833], [0.4167, 0.4167, 0.9210], [0.4167, 0.9210, 0.4167], [0.5000, 0.5000, 0.5000], [0.5833, 0.0790, 0.5833], [0.5833, 0.5833, 0.0790], [0.9210, 0.4167, 0.4167]]}

=====

2.
{"formula": "MnReB2", "functional": "PBE", "state": "optimized geometry", "density_g_cm3": 11.7, "e_form_ev_per_atom": 0.20, "lattice": [[0.0000, 2.6508, 2.6508], [2.6508, 0.0000, 2.6508], [2.6508, 2.6508, 0.0000]], "species": ["Mn", "Re", "B", "B"], "fractional_positions": [[0.0000, 0.0000, 0.0000], [0.5000, 0.5000, 0.5000], [0.2500, 0.2500, 0.2500], [0.7500, 0.7500, 0.7500]]}

=====

3.
{"formula": "La2Nd2Ga4Si", "functional": "PBE", "state": "optimized geometry", "density_g_cm3": 6.3, "raw_formation_energy_ev_per_atom": -0.372, "lattice": [[-3.5935, 3.5935, 4.4877], [3.5935, -3.5935, 4.4877], [3.5935, 3.5935, -4.4877]], "species": ["La", "La", "Nd", "Nd", "Ga", "Ga", "Ga", "Ga", "Si"], "fractional_positions": [[0.2500, 0.7500, 0.5000], [0.7500, 0.2500, 0.5000], [0.1906, 0.1906, 0.0000], [0.8094, 0.8094, 0.0000], [0.2584, 0.2584, 0.5168], [0.2584, 0.7416, 0.0000], [0.7416, 0.2584, 0.0000], [0.7416, 0.7416, 0.4832], [0.5000, 0.5000, 0.0000]]}

=====

4.
{"formula": "Si3C", "functional": "PBE", "state": "optimized geometry", "density_g_cm3": 3.3, "raw_formation_energy_ev_per_atom": 1.352, "lattice": [[2.6088, -3.0447, 0.0000], [2.6088, 3.0447, 0.0000], [0.0000, 0.0000, 3.0686]], "species": ["Si", "Si", "Si", "C"], "fractional_positions": [[0.0000, 0.0000, 0.0000], [0.0000, 0.5000, 0.5000], [0.5000, 0.0000, 0.5000], [0.5000, 0.5000, 0.0000]]}

=====

5.
{"formula": "Rb2PrTlO4", "functional": "PBE", "state": "optimized geometry", "density_g_cm3": 6.4, "raw_formation_energy_ev_per_atom": -1.668, "lattice": [[5.1373, -5.3621, 0.0000], [5.1373, 5.3621, 0.0000], [-5.1084, 0.0000, 5.4561]], "species": ["Rb", "Rb", "Rb", "Rb", "Pr", "Pr", "Tl", "Tl", "O", "O", "O", "O", "O", "O", "O", "O"], "fractional_positions": [[0.0000, 0.0000, 0.0000], [0.0000, 0.0000, 0.5000], [0.0000, 0.5000, 0.0000], [0.5000, 0.0000, 0.5000], [0.5000, 0.5000, 0.0000], [0.5000, 0.5000, 0.5000], [0.0000, 0.5000, 0.5000], [0.5000, 0.0000, 0.0000], [0.2367, 0.7037, 0.5137], [0.2817, 0.3074, 0.5543], [0.2963, 0.7633, 0.9863], [0.3074, 0.2817, 0.0543], [0.6926, 0.7183, 0.9457], [0.7037, 0.2367, 0.0137], [0.7183, 0.6926, 0.4457], [0.7633, 0.2963, 0.4863]]}

=====

6.
{"formula": "AcAlBiPb", "functional": "PBE", "state": "optimized geometry", "density_g_cm3": 8.7, "e_form_ev_per_atom": -0.13, "lattice": [[0.0000, 3.9975, 3.9975], [3.9975, 0.0000, 3.9975], [3.9975, 3.9975, 0.0000]], "species": ["Ac", "Al", "Bi", "Pb"], "fractional_positions": [[0.0000, 0.0000, 0.0000], [0.2500, 0.2500, 0.2500], [0.7500, 0.7500, 0.7500], [0.5000, 0.5000, 0.5000]]}

=====

7.
{"formula": "Zr2FeCl", "functional": "PBE", "state": "optimized geometry", "density_g_cm3": 5.1, "raw_formation_energy_ev_per_atom": -0.194, "lattice": [[1.6468, 0.9508, 9.3998], [-1.6468, 0.9508, 9.3998], [0.0000, -1.9016, 9.3998]], "species": ["Zr", "Zr", "Fe", "Cl"], "fractional_positions": [[0.0000, 0.0000, 0.0000], [0.2436, 0.2436, 0.2436], [0.7325, 0.7325, 0.7325], [0.5121, 0.5121, 0.5121]]}

=====

8.
{"formula": "RbP3Pb", "functional": "PBE", "state": "optimized geometry", "density_g_cm3": 4.1, "e_form_ev_per_atom": 0.85, "lattice": [[5.3830, 0.0000, 0.0000], [0.0000, 5.3830, 0.0000], [0.0000, 0.0000, 5.3830]], "species": ["Rb", "P", "P", "P", "Pb"], "fractional_positions": [[0.0000, 0.0000, 0.0000], [0.0000, 0.5000, 0.5000], [0.5000, 0.0000, 0.5000], [0.5000, 0.5000, 0.0000], [0.5000, 0.5000, 0.5000]]}

=====

9.
{"formula": "ReTcSb2", "functional": "PBE", "state": "optimized geometry", "density_g_cm3": 12.5, "raw_formation_energy_ev_per_atom": 0.348, "lattice": [[0.0000, 3.2706, 3.2706], [3.2706, 0.0000, 3.2706], [3.2706, 3.2706, 0.0000]], "species": ["Re", "Tc", "Sb", "Sb"], "fractional_positions": [[0.0000, 0.0000, 0.0000], [0.5000, 0.5000, 0.5000], [0.2500, 0.2500, 0.2500], [0.7500, 0.7500, 0.7500]]}